TlZnHg2 meta-GGA SCAN single point on PBEsol structure; ΔH_f (0 K) = 0.107 eV/atom; V = 22.6 Å³ per atom; total energy = -4.07509 Ry/atom; SG = Immm, No. 71
1.0
-1.6341 2.6673 5.1835
1.6341 -2.6673 5.1835
1.6341 2.6673 -5.1835
Tl Zn Hg
1 1 2
direct
0.0000 0.0000 0.0000 Tl
0.5000 0.5000 0.0000 Zn
0.2805 0.7805 0.5000 Hg
0.7195 0.2195 0.5000 Hg


Tl2ZnHg meta-GGA SCAN single point on PBEsol structure; ΔH_f (0 K) = 0.117 eV/atom; V = 23.9 Å³ per atom; total energy = -4.15136 Ry/atom; energy relative to the lowest polymorph listed for this composition = 25.8 meV per atom; SG = Cm, No. 8
1.0
5.7427 -1.7367 0.0000
5.7427 1.7367 0.0000
-2.3619 0.0000 4.7908
Tl Zn Hg
2 1 1
direct
0.0000 0.0000 0.0000 Tl
0.2133 0.2133 0.6991 Tl
0.7329 0.7329 0.2073 Zn
0.4393 0.4393 0.4426 Hg


Tl2ZnHg meta-GGA SCAN single point on PBEsol structure; ΔH_f (0 K) = 0.092 eV/atom; V = 24.1 Å³ per atom; total energy = -4.15325 Ry/atom; energy relative to the lowest polymorph listed for this composition = 0.0 meV per atom; SG = R3m, No. 160
1.0
1.7415 1.0055 9.1831
-1.7415 1.0055 9.1831
0.0000 -2.0109 9.1831
Tl Zn Hg
2 1 1
direct
0.0000 0.0000 0.0000 Tl
0.2346 0.2346 0.2346 Tl
0.4904 0.4904 0.4904 Zn
0.7563 0.7563 0.7563 Hg


TlZnHg2 meta-GGA SCAN single point on PBEsol structure; ΔH_f (0 K) = 0.159 eV/atom; V = 22.8 Å³ per atom; total energy = -4.07128 Ry/atom; SG = Cmmm, No. 65
1.0
3.1181 -4.5531 0.0000
3.1181 4.5531 0.0000
0.0000 0.0000 3.2066
Tl Zn Hg
1 1 2
direct
0.0000 0.0000 0.0000 Tl
0.5000 0.5000 0.0000 Zn
0.0000 0.5000 0.5000 Hg
0.5000 0.0000 0.5000 Hg


TlZnHg2 meta-GGA SCAN single point on PBEsol structure; ΔH_f (0 K) = 0.147 eV/atom; V = 22.8 Å³ per atom; total energy = -4.07214 Ry/atom; SG = P4/mmm, No. 123
1.0
4.6616 0.0000 0.0000
0.0000 4.6616 0.0000
0.0000 0.0000 4.1996
Tl Zn Hg
1 1 2
direct
0.0000 0.0000 0.0000 Tl
0.5000 0.5000 0.0000 Zn
0.0000 0.5000 0.5000 Hg
0.5000 0.0000 0.5000 Hg


TlZnHg2 meta-GGA SCAN single point on PBEsol structure; ΔH_f (0 K) = 0.069 eV/atom; V = 22.5 Å³ per atom; total energy = -4.07789 Ry/atom; SG = R-3m, No. 166
1.0
1.7142 0.9897 8.8476
-1.7142 0.9897 8.8476
0.0000 -1.9794 8.8476
Tl Zn Hg
1 1 2
direct
0.0000 0.0000 0.0000 Tl
0.5000 0.5000 0.5000 Zn
0.2392 0.2392 0.2392 Hg
0.7608 0.7608 0.7608 Hg


Tl2ZnHg meta-GGA SCAN single point on PBEsol structure; ΔH_f (0 K) = 0.117 eV/atom; V = 23.9 Å³ per atom; total energy = -4.15139 Ry/atom; energy relative to the lowest polymorph listed for this composition = 25.4 meV per atom; SG = Imm2, No. 44
1.0
-1.7350 2.6683 5.1633
1.7350 -2.6683 5.1633
1.7350 2.6683 -5.1633
Tl Zn Hg
2 1 1
direct
0.0000 0.0000 0.0000 Tl
0.7136 0.2136 0.5000 Tl
0.2321 0.7321 0.5000 Zn
0.4391 0.4391 0.0000 Hg


TlZnHg2 meta-GGA SCAN single point on PBEsol structure; ΔH_f (0 K) = 0.084 eV/atom; V = 22.2 Å³ per atom; total energy = -4.07678 Ry/atom; SG = P4/mmm, No. 123
1.0
3.2638 0.0000 0.0000
0.0000 3.2638 0.0000
0.0000 0.0000 8.3203
Tl Zn Hg
1 1 2
direct
0.0000 0.0000 0.0000 Tl
0.0000 0.0000 0.5000 Zn
0.5000 0.5000 0.2909 Hg
0.5000 0.5000 0.7091 Hg


Q: Which formula does entry 2 have?
A: Tl2ZnHg